VASP calculation (PBEsol) on Li2LaTl2 after structural relaxation.

abc: 8.439 8.439 3.189
angles: 90.00 90.00 90.00
Sites, in units of the cell vectors:
Li: 0.116 0.384 0.000
Li: 0.384 0.884 0.000
Li: 0.616 0.116 0.000
Li: 0.884 0.616 0.000
La: 0.000 0.000 0.000
La: 0.500 0.500 0.000
Tl: 0.178 0.678 0.500
Tl: 0.322 0.178 0.500
Tl: 0.678 0.822 0.500
Tl: 0.822 0.322 0.500

Properties
The value obtained for the volume is 227.1 Å³/cell. Its formation energy from the elements is -0.308 eV/atom. Its total energy is -32.2 eV/cell. The relative energy among the computed polymorphs is 0 meV/atom. Its space-group type is No. 127.